1.
First-principles (PBE) data for an optimized crystal structure of TbSm4Dy2Th, as listed in Alexandria via LeMat-Bulk.

Cell and atoms, written as POSCAR:
```
TbSm4Dy2Th
1.0
-3.127 -3.605 -1.730
2.617 -3.505 2.572
-3.448 -2.114 10.635
Tb Sm Dy Th
1 4 2 1
Cartesian
-0.255 -3.555 0.421
-0.610 -4.220 9.892
-3.349 -5.003 1.585
-0.480 -4.953 3.740
-3.478 -4.270 7.737
-3.448 -2.114 10.635
-3.288 -2.859 4.452
-0.416 -2.809 6.604
```

As for the crystal system: tetragonal. The value obtained for the density is 8339 kg/m³. The energy of formation from the pure elements is 0.2 eV per formula unit. The calculation puts the electronic total energy at -39.90 eV for the cell shown.

2.
First-principles (PBE) data for an optimized crystal structure of Ti2Au, as listed in Alexandria via LeMat-Bulk.

Cell and atoms, written as POSCAR:
```
Ti2Au
1.0
5.206 0.000 0.000
2.603 4.508 0.000
2.603 1.503 4.250
Au Ti
2 4
Cartesian
0.000 0.000 0.000
2.603 1.503 1.063
3.904 3.757 2.656
5.206 1.503 2.656
6.507 3.757 2.656
5.206 3.005 0.531
```

As for the crystal system: cubic. The value obtained for the density is 9745 kg/m³. The energy of formation from the pure elements is -0.1 eV per formula unit. The calculation puts the electronic total energy at -38.28 eV for the cell shown.

3.
First-principles (PBE) data for an optimized crystal structure of YZnP2Rh5, as listed in Alexandria via LeMat-Bulk.

Cell and atoms, written as POSCAR:
```
YZnP2Rh5
1.0
-1.779 2.615 -2.580
1.140 -2.332 -3.150
-8.095 -4.852 0.663
Y Zn P Rh
1 1 2 5
Cartesian
-4.047 -2.426 0.331
0.000 0.000 0.000
-2.450 -1.136 -2.691
-6.283 -3.433 -2.377
-0.739 -1.951 -1.468
-2.198 0.523 -1.183
-6.215 -5.234 -1.020
-7.675 -2.760 -0.735
-4.367 -2.285 -2.534
```

As for the crystal system: tetragonal. The value obtained for the density is 7698 kg/m³. The energy of formation from the pure elements is -5.3 eV per formula unit. The calculation puts the electronic total energy at -60.59 eV for the cell shown.

4.
First-principles (PBE) data for an optimized crystal structure of TeSe, as listed in Alexandria via LeMat-Bulk.

Cell and atoms, written as POSCAR:
```
TeSe
1.0
5.566 0.000 0.000
0.000 6.763 0.000
0.000 0.000 13.255
Te Se
6 6
Cartesian
0.000 5.296 11.163
2.783 1.466 8.719
2.783 1.466 4.536
0.000 5.296 2.092
0.000 5.877 6.627
2.783 0.886 0.000
0.000 0.705 8.618
2.783 6.058 11.264
2.783 6.058 1.991
0.000 0.705 4.637
0.000 3.791 0.000
2.783 2.971 6.627
```

As for the crystal system: orthorhombic. As for the raw formation energy: 85 meV per atom. The value obtained for the density is 4125 kg/m³. The calculation puts the electronic total energy at -38.74 eV for the cell shown.

5.
First-principles (PBE) data for an optimized crystal structure of Ba5CaAu4, as listed in Alexandria via LeMat-Bulk.

Cell and atoms, written as POSCAR:
```
Ba5CaAu4
1.0
-3.398 -0.810 3.136
1.905 -8.970 -0.254
7.667 3.980 5.822
Ba Ca Au
5 1 4
Cartesian
2.558 -1.785 2.310
3.609 -6.369 2.265
2.566 0.568 6.440
-0.746 -4.890 1.441
3.617 -4.015 6.394
-1.699 -0.405 1.568
0.386 -0.029 3.924
4.690 1.088 8.876
5.789 -5.772 4.780
1.485 -6.889 -0.171
```

As for the crystal system: monoclinic. The value obtained for the density is 5931 kg/m³. The energy of formation from the pure elements is -5.7 eV per formula unit. The calculation puts the electronic total energy at -30.44 eV for the cell shown.

6.
First-principles (PBE) data for an optimized crystal structure of SrMgO2F, as listed in Alexandria via LeMat-Bulk.

Cell and atoms, written as POSCAR:
```
SrMgO2F
1.0
4.572 0.000 0.000
0.000 4.572 0.000
0.000 0.000 4.474
Sr Mg O F
1 1 2 1
Cartesian
0.000 0.000 0.000
2.286 2.286 2.237
0.000 2.286 0.000
2.286 0.000 0.000
0.000 0.000 2.237
```

As for the crystal system: tetragonal. As for the raw formation energy: -1392 meV per atom. The value obtained for the density is 2893 kg/m³. The calculation puts the electronic total energy at -22.03 eV for the cell shown.

7.
First-principles (PBE) data for an optimized crystal structure of BaTiCr3, as listed in Alexandria via LeMat-Bulk.

Cell and atoms, written as POSCAR:
```
BaTiCr3
1.0
4.997 0.000 0.000
0.000 4.997 0.000
0.000 0.000 4.997
Cr Ba Ti
3 1 1
Cartesian
0.000 2.498 0.000
0.000 0.000 2.498
2.498 0.000 0.000
0.000 0.000 0.000
2.498 2.498 2.498
```

As for the crystal system: cubic. For the distance to the lowest polymorph of the same formula, the calculation gives 1304 meV per atom. The value obtained for the density is 4542 kg/m³. The energy of formation from the pure elements is 12.1 eV per formula unit. The calculation puts the electronic total energy at -26.61 eV for the cell shown.

8.
First-principles (PBE) data for an optimized crystal structure of AcNpAlO6, as listed in Alexandria via LeMat-Bulk.

Cell and atoms, written as POSCAR:
```
AcNpAlO6
1.0
5.433 0.000 0.000
0.000 5.314 0.000
0.000 -2.657 4.602
Ac Np Al O
1 1 1 6
Cartesian
0.000 0.000 3.068
2.717 2.657 1.534
2.717 0.000 0.000
3.821 1.964 3.151
3.821 1.604 0.125
3.821 4.404 1.326
1.612 0.910 1.326
1.612 3.710 0.125
1.612 3.350 3.151
```

As for the crystal system: trigonal. As for the raw formation energy: -3047 meV per atom. The value obtained for the density is 7336 kg/m³. The calculation puts the electronic total energy at -77.96 eV for the cell shown.

9.
First-principles (PBE) data for an optimized crystal structure of PrTmAgSb, as listed in Alexandria via LeMat-Bulk.

Cell and atoms, written as POSCAR:
```
PrTmAgSb
1.0
-5.200 0.476 -0.887
-3.202 -4.155 0.731
-3.395 -0.044 4.065
Pr Sb Tm Ag
1 1 1 1
Cartesian
0.000 0.000 0.000
-8.848 -2.792 2.932
-5.899 -1.862 1.954
-2.949 -0.931 0.977
```

As for the crystal system: cubic. As for the raw formation energy: -527 meV per atom. The value obtained for the density is 8526 kg/m³. The calculation puts the electronic total energy at -18.33 eV for the cell shown.

10.
First-principles (PBE) data for an optimized crystal structure of U2PdSe4Cl, as listed in Alexandria via LeMat-Bulk.

Cell and atoms, written as POSCAR:
```
U2PdSe4Cl
1.0
-3.847 -0.303 0.920
-1.615 -6.147 -0.221
0.060 -4.608 7.286
U Pd Se Cl
2 1 4 1
Cartesian
-4.186 -7.419 5.711
-1.215 -3.639 2.274
0.000 0.000 0.000
-2.200 -9.252 4.861
-1.862 -6.452 7.193
-3.201 -1.806 3.123
-3.539 -4.605 0.792
-2.701 -5.529 3.992
```

As for the crystal system: monoclinic. As for the raw formation energy: -959 meV per atom. The value obtained for the density is 8622 kg/m³. The calculation puts the electronic total energy at -51.23 eV for the cell shown.

11.
First-principles (PBE) data for an optimized crystal structure of SiRhBr2, as listed in Alexandria via LeMat-Bulk.

Cell and atoms, written as POSCAR:
```
SiRhBr2
1.0
-0.184 2.297 8.539
2.602 -0.025 8.453
3.105 3.447 7.530
Si Rh Br
1 1 2
Cartesian
0.000 0.000 0.000
2.762 2.859 12.261
4.940 5.114 21.930
0.584 0.604 2.592
```

As for the crystal system: trigonal. As for the raw formation energy: 487 meV per atom. For the distance to the lowest polymorph of the same formula, the calculation gives 676 meV per atom. The value obtained for the density is 4932 kg/m³. The calculation puts the electronic total energy at -14.17 eV for the cell shown.

12.
First-principles (PBE) data for an optimized crystal structure of Pa2TiSb, as listed in Alexandria via LeMat-Bulk.

Cell and atoms, written as POSCAR:
```
Pa2TiSb
1.0
3.995 0.000 0.000
0.000 3.995 0.000
0.000 0.000 6.146
Sb Pa Ti
1 2 1
Cartesian
1.998 1.998 3.073
0.000 0.000 4.465
0.000 0.000 1.681
1.998 1.998 0.000
```

As for the crystal system: tetragonal. As for the raw formation energy: -55 meV per atom. For the distance to the lowest polymorph of the same formula, the calculation gives 205 meV per atom. The value obtained for the density is 10692 kg/m³. The calculation puts the electronic total energy at -31.23 eV for the cell shown.

Question: What is the electronic total energy in the ninth record?
Answer: -18.33 eV for the cell shown